# ZrTe2Br

A geometry-optimized ZrTe2Br structure (PBE-GGA, Alexandria).

Cell and atoms, written as POSCAR:
```
ZrTe2Br
1.0
7.3628 0.0000 0.0000
0.0000 7.3628 0.0000
0.0000 0.0000 7.3628
Zr Te Br
4 8 4
direct
0.0000 0.0000 0.0000
0.0000 0.5000 0.5000
0.5000 0.0000 0.5000
0.5000 0.5000 0.0000
0.0000 0.0000 0.5000
0.0000 0.5000 0.0000
0.2500 0.2500 0.2500
0.2500 0.7500 0.7500
0.5000 0.0000 0.0000
0.5000 0.5000 0.5000
0.7500 0.2500 0.7500
0.7500 0.7500 0.2500
0.2500 0.2500 0.7500
0.2500 0.7500 0.2500
0.7500 0.2500 0.2500
0.7500 0.7500 0.7500
```

Computed properties:
* crystal system: cubic
* V: 399.1 Å³/cell
* relative energy among the computed polymorphs: 57.4 kJ per mole of atoms
* uncorrected formation energy: -144 meV/atom